(1)
DFT (GGA-PBEsol) results for an optimized crystal structure of RbMg2AgH.

Lattice parameters (Å, degrees): 4.292 6.232 6.232 90.00 90.00 90.00
Element x y z (fractional)
Rb: 0.000 0.000 0.000
Ag: 0.500 0.500 0.500
H: 0.500 0.000 0.000
Mg: 0.000 0.500 0.000
Mg: 0.000 0.000 0.500

Values from the calculation:
size of the total moment	0.0	μB per cell
energy	-1.14	eV/atom
symmetry	P4/mmm

---

(2)
DFT (GGA-PBEsol) results for an optimized crystal structure of CrTeRh2.

Lattice parameters (Å, degrees): 3.962 3.962 4.724 114.79 114.79 90.00
Site moments in Bohr magnetons follow the coordinates.
Element x y z (fractional)
Te: 0.000 0.000 0.000  -0.05
Rh: 0.250 0.750 0.500  -0.08
Cr: 0.500 0.500 0.000  2.74
Rh: 0.750 0.250 0.500  -0.08

Values from the calculation:
size of the total moment	2.7	μB per cell
energy	-7.50	eV/atom
formation energy (no corrections)	0.012	eV/atom
symmetry	I4/mmm

---

(3)
DFT (GGA-PBEsol) results for an optimized crystal structure of NbPCl2.

Lattice parameters (Å, degrees): 3.045 3.045 9.211 80.49 80.49 60.00
Element x y z (fractional)
Nb: 0.000 0.000 0.000
Cl: 0.086 0.086 0.741
P: 0.500 0.500 0.500
Cl: 0.914 0.914 0.259

Values from the calculation:
size of the total moment	0.0	μB per cell
energy	-4.93	eV/atom
ΔE to the lowest computed polymorph	2.00	eV/f.u.
formation energy (no corrections)	0.226	eV/atom
symmetry	R-3m

---

(4)
DFT (GGA-PBEsol) results for an optimized crystal structure of ZnCuIr2.

Lattice parameters (Å, degrees): 2.690 2.690 8.663 81.07 81.07 60.00
Element x y z (fractional)
Ir: 0.751 0.751 0.747
Zn: 0.502 0.502 0.494
Cu: 0.249 0.249 0.254
Ir: 0.998 0.998 0.005

Values from the calculation:
calculated formation energy	-0.23	kcal/mol of atoms
size of the total moment	0.0	μB per cell
energy	-6.40	eV/atom
symmetry	R3m

---

(5)
DFT (GGA-PBEsol) results for an optimized crystal structure of SnP2OsCl.

Lattice parameters (Å, degrees): 4.502 4.502 5.155 90.00 90.00 90.00
Element x y z (fractional)
P: 0.500 0.000 0.000
Sn: 0.500 0.500 0.500
P: 0.000 0.500 0.000
Os: 0.000 0.000 0.000
Cl: 0.000 0.000 0.500

Values from the calculation:
size of the total moment	0.0	μB per cell
energy	-5.64	eV/atom
formation energy (no corrections)	0.373	eV/atom
symmetry	P4/mmm

---

(6)
DFT (GGA-PBEsol) results for an optimized crystal structure of Mg2AgHgSe.

Lattice parameters (Å, degrees): 5.138 5.138 5.327 90.00 90.00 90.00
Element x y z (fractional)
Mg: 0.500 0.000 0.000
Se: 0.000 0.000 0.500
Mg: 0.000 0.500 0.000
Hg: 0.000 0.000 0.000
Ag: 0.500 0.500 0.500

Values from the calculation:
size of the total moment	0.0	μB per cell
energy	-1.76	eV/atom
formation energy (no corrections)	0.468	eV/atom
symmetry	P4/mmm

---

(7)
DFT (GGA-PBEsol) results for an optimized crystal structure of OsPdCl2.

Lattice parameters (Å, degrees): 4.367 4.367 4.367 60.00 60.00 60.00
Element x y z (fractional)
Pd: 0.000 0.000 0.000
Cl: 0.250 0.250 0.250
Os: 0.500 0.500 0.500
Cl: 0.750 0.750 0.750

Values from the calculation:
size of the total moment	0.0	μB per cell
energy	-4.54	eV/atom
ΔE to the lowest computed polymorph	2.38	eV/f.u.
formation energy (no corrections)	1.012	eV/atom
symmetry	Fm-3m

---

(8)
DFT (GGA-PBEsol) results for an optimized crystal structure of Ni4Ir3.

Lattice parameters (Å, degrees): 2.661 2.661 12.066 96.33 96.33 90.00
Element x y z (fractional)
Ni: 0.862 0.862 0.725
Ir: 0.290 0.290 0.579
Ni: 0.428 0.428 0.857
Ni: 0.138 0.138 0.275
Ir: 0.000 0.000 0.000
Ir: 0.710 0.710 0.421
Ni: 0.572 0.572 0.143

Values from the calculation:
calculated formation energy	1.24	kcal/mol of atoms
size of the total moment	0.0	μB per cell
energy	-7.67	eV/atom
symmetry	I4/mmm